Here is ScTe2SI after structural relaxation from Alexandria via LeMat-Bulk. Energies are from PBE-GGA.

abc: 5.597 5.597 5.550
angles: 90.00 90.00 90.00
Atoms (fractional coordinates):
Sc (0.000, 0.000, 0.000)
Te (0.000, 0.500, 0.000)
Te (0.500, 0.000, 0.000)
S (0.500, 0.500, 0.500)
I (0.000, 0.000, 0.500)

N(E_F) = 1.559 states/eV per atom
Crystal system = tetragonal
Formation energy (no corrections) = 0.11 eV per atom
E = -3.546 eV per atom
Excess energy over the best structure of this formula in the dataset = 0.000 eV/atom
Symmetry = P4/mmm (123)

---

Here is ScTeSI2 after structural relaxation from Alexandria via LeMat-Bulk. Energies are from PBE-GGA.

abc: 5.659 5.659 5.745
angles: 90.00 90.00 90.00
Atoms (fractional coordinates):
Sc (0.000, 0.000, 0.000)
Te (0.000, 0.000, 0.500)
S (0.500, 0.500, 0.500)
I (0.000, 0.500, 0.000)
I (0.500, 0.000, 0.000)

N(E_F) = 1.093 states/eV per atom
Crystal system = tetragonal
Formation energy (no corrections) = -0.06 eV per atom
E = -3.397 eV per atom
Excess energy over the best structure of this formula in the dataset = 0.000 eV/atom
Symmetry = P4/mmm (123)

---

Here is ScWS2I after structural relaxation from Alexandria via LeMat-Bulk. Energies are from PBE-GGA.

abc: 5.124 5.124 5.404
angles: 90.00 90.00 90.00
Atoms (fractional coordinates):
Sc (0.000, 0.000, 0.000)
W (0.500, 0.500, 0.000)
S (0.000, 0.500, 0.500)
S (0.500, 0.000, 0.500)
I (0.000, 0.000, 0.500)

N(E_F) = 1.612 states/eV per atom
Crystal system = tetragonal
Formation energy (no corrections) = 1.77 eV per atom
E = -4.045 eV per atom
Symmetry = P4/mmm (123)

---

Here is SeSI2 after structural relaxation from Alexandria via LeMat-Bulk. Energies are from PBE-GGA.

abc: 7.868 7.868 7.985
angles: 90.00 90.00 90.00
Atoms (fractional coordinates):
Se (0.000, 0.000, 0.000)
Se (0.000, 0.500, 0.250)
Se (0.500, 0.000, 0.750)
Se (0.500, 0.500, 0.500)
S (0.000, 0.000, 0.500)
S (0.000, 0.500, 0.750)
S (0.500, 0.000, 0.250)
S (0.500, 0.500, 0.000)
I (0.242, 0.250, 0.625)
I (0.250, 0.742, 0.875)
I (0.250, 0.758, 0.375)
I (0.258, 0.250, 0.125)
I (0.742, 0.750, 0.125)
I (0.750, 0.242, 0.375)
I (0.750, 0.258, 0.875)
I (0.758, 0.750, 0.625)

N(E_F) = 0.720 states/eV per atom
Crystal system = tetragonal
Formation energy (no corrections) = 0.65 eV per atom
E = -2.026 eV per atom
Excess energy over the best structure of this formula in the dataset = 0.000 eV/atom
Symmetry = I-42d (122)

---

Here is Se2S2I after structural relaxation from Alexandria via LeMat-Bulk. Energies are from PBE-GGA.

abc: 8.884 8.884 3.983
angles: 90.00 90.00 90.00
Atoms (fractional coordinates):
Se (0.237, 0.263, 0.000)
Se (0.263, 0.763, 0.000)
Se (0.737, 0.237, 0.000)
Se (0.763, 0.737, 0.000)
S (0.146, 0.354, 0.500)
S (0.354, 0.854, 0.500)
S (0.646, 0.146, 0.500)
S (0.854, 0.646, 0.500)
I (0.000, 0.000, 0.000)
I (0.500, 0.500, 0.000)

N(E_F) = 0.302 states/eV per atom
Crystal system = tetragonal
Formation energy (no corrections) = 0.28 eV per atom
E = -3.076 eV per atom
Excess energy over the best structure of this formula in the dataset = 0.147 eV/atom
Symmetry = P4/mbm (127)

---

Here is SeSI after structural relaxation from Alexandria via LeMat-Bulk. Energies are from PBE-GGA.

abc: 4.336 4.997 6.123
angles: 111.37 94.40 109.75
Atoms (fractional coordinates):
Se (0.000, 0.000, 0.000)
S (0.612, 0.082, 0.827)
I (0.306, 0.534, 0.408)

N(E_F) = 0.495 states/eV per atom
Crystal system = triclinic
Formation energy (no corrections) = 0.15 eV per atom
E = -2.905 eV per atom
Excess energy over the best structure of this formula in the dataset = 0.071 eV/atom
Symmetry = P1 (1)

---

Here is SeSI after structural relaxation from Alexandria via LeMat-Bulk. Energies are from PBE-GGA.

abc: 3.683 5.572 6.290
angles: 110.97 90.17 109.28
Atoms (fractional coordinates):
Se (0.000, 0.000, 0.000)
S (0.184, 0.367, 0.928)
I (0.092, 0.184, 0.466)

N(E_F) = 0.490 states/eV per atom
Crystal system = triclinic
Formation energy (no corrections) = 0.17 eV per atom
E = -2.887 eV per atom
Excess energy over the best structure of this formula in the dataset = 0.089 eV/atom
Symmetry = P1 (1)

---

Here is SeSI after structural relaxation from Alexandria via LeMat-Bulk. Energies are from PBE-GGA.

abc: 4.265 5.775 6.414
angles: 112.45 92.32 95.53
Atoms (fractional coordinates):
Se (0.000, 0.000, 0.000)
S (0.590, 0.888, 0.781)
I (0.071, 0.662, 0.182)

N(E_F) = 0.507 states/eV per atom
Crystal system = triclinic
Formation energy (no corrections) = 0.20 eV per atom
E = -2.852 eV per atom
Excess energy over the best structure of this formula in the dataset = 0.124 eV/atom
Symmetry = P1 (1)

---

Here is SeS4I after structural relaxation from Alexandria via LeMat-Bulk. Energies are from PBE-GGA.

abc: 6.318 7.793 10.071
angles: 72.10 72.89 70.42
Atoms (fractional coordinates):
Se (0.126, 0.357, 0.215)
Se (0.874, 0.643, 0.785)
S (0.017, 0.688, 0.195)
S (0.239, 0.252, 0.641)
S (0.342, 0.832, 0.679)
S (0.493, 0.725, 0.842)
S (0.507, 0.275, 0.158)
S (0.658, 0.168, 0.321)
S (0.761, 0.748, 0.359)
S (0.983, 0.312, 0.805)
I (0.410, 0.745, 0.295)
I (0.590, 0.255, 0.705)

N(E_F) = 0.363 states/eV per atom
Crystal system = triclinic
Formation energy (no corrections) = 0.21 eV per atom
E = -3.384 eV per atom
Symmetry = P-1 (2)

---

Here is SeSI after structural relaxation from Alexandria via LeMat-Bulk. Energies are from PBE-GGA.

abc: 10.741 3.629 6.483
angles: 90.00 114.86 90.00
Atoms (fractional coordinates):
Se (0.000, 0.000, 0.000)
Se (0.500, 0.500, 0.000)
S (0.214, 0.000, 0.105)
S (0.714, 0.500, 0.105)
I (0.350, 0.000, 0.532)
I (0.850, 0.500, 0.532)

N(E_F) = 0.432 states/eV per atom
Crystal system = monoclinic
Formation energy (no corrections) = 0.23 eV per atom
E = -2.827 eV per atom
Excess energy over the best structure of this formula in the dataset = 0.149 eV/atom
Symmetry = Cm (8)

---

Here is SeSI after structural relaxation from Alexandria via LeMat-Bulk. Energies are from PBE-GGA.

abc: 5.721 6.442 7.213
angles: 114.46 90.06 94.22
Atoms (fractional coordinates):
Se (0.001, 0.400, 0.306)
Se (0.999, 0.600, 0.694)
S (0.310, 0.834, 0.767)
S (0.690, 0.166, 0.233)
I (0.190, 0.200, 0.759)
I (0.810, 0.800, 0.241)

Crystal system = triclinic
Formation energy (no corrections) = 0.09 eV per atom
E = -2.964 eV per atom
Excess energy over the best structure of this formula in the dataset = 0.012 eV/atom
Symmetry = P-1 (2)

---

Here is SeSI after structural relaxation from Alexandria via LeMat-Bulk. Energies are from PBE-GGA.

abc: 4.292 5.888 5.996
angles: 116.33 92.61 90.93
Atoms (fractional coordinates):
Se (0.000, 0.000, 0.000)
S (0.393, 0.110, 0.250)
I (0.507, 0.801, 0.430)

N(E_F) = 0.431 states/eV per atom
Crystal system = triclinic
Formation energy (no corrections) = 0.26 eV per atom
E = -2.796 eV per atom
Excess energy over the best structure of this formula in the dataset = 0.180 eV/atom
Symmetry = P1 (1)